## TiMnSb2Te (PBE)

Data for a relaxed TiMnSb2Te crystal.

Output
- ΔE_f (raw) (eV/atom) = 0.45
- space group = P4/mmm
- energy above the most stable polymorph in this dataset (meV per atom) = 0

a = 5.2878 Å, b = 5.2878 Å, c = 5.2643 Å
α = 90.00°, β = 90.00°, γ = 90.00°
With the nearest neighbours (Å) after each atom.
Sites, in units of the cell vectors:
Mn 0.5000 0.5000 0.5000  8 Sb 3.73, 4 Te 3.74
Te 0.0000 0.0000 0.5000  2 Ti 2.63
Sb 0.0000 0.5000 0.0000  2 Ti 2.64
Sb 0.5000 0.0000 0.0000  2 Ti 2.64
Ti 0.0000 0.0000 0.0000  2 Te 2.63, 4 Sb 2.64